No. 1
Below is a geometry-optimized YHoAlPt structure, with properties calculated at the PBE-GGA level.

Energy of formation from the pure elements = -0.747 eV/atom

Cell and atoms, written as extended XYZ:
```
4
Lattice="-2.741 3.562 2.242 -4.967 0.173 -0.721 -3.124 -1.217 3.739" Properties=species:S:1:pos:R:3 pbc="T T T"
Pt -8.124 1.888 3.945
Y -5.416 1.259 2.630
Al -2.708 0.629 1.315
Ho 0.000 0.000 0.000
```



No. 2
Below is a geometry-optimized Tb2SmTm4 structure, with properties calculated at the PBE-GGA level.

Energy of formation from the pure elements = 0.039 eV/atom
Energy above the lowest structure with this stoichiometry = 0.000 eV/atom

Cell and atoms, written as extended XYZ:
```
7
Lattice="-0.986 2.464 -2.288 -7.157 -2.981 5.234 4.788 6.565 2.324" Properties=species:S:1:pos:R:3 pbc="T T T"
Tm -4.801 -0.128 4.613
Tm 1.446 6.176 0.657
Tm -0.715 3.275 1.147
Tm -2.639 2.774 4.124
Tb -2.760 0.523 1.749
Tb -0.594 5.525 3.521
Sm 0.000 0.000 0.000
```



No. 3
Below is a geometry-optimized CaSm2Br structure, with properties calculated at the PBE-GGA level.

Energy relative to the elements, uncorrected = -333 meV per atom

Cell and atoms, written as extended XYZ:
```
4
Lattice="3.601 0.000 0.000 1.800 3.119 0.000 1.800 1.040 11.687" Properties=species:S:1:pos:R:3 pbc="T T T"
Sm 1.800 1.040 8.231
Sm 5.401 3.119 3.456
Br 3.601 2.079 5.844
Ca 0.000 0.000 0.000
```



No. 4
Below is a geometry-optimized Ca3Cu2Ge3O12 structure, with properties calculated at the PBE-GGA level.

Energy relative to the elements, uncorrected = -1815 meV per atom

Cell and atoms, written as extended XYZ:
```
80
Lattice="-9.951 -3.827 -1.472 5.355 -0.247 -9.332 5.143 -6.069 7.249" Properties=species:S:1:pos:R:3 pbc="T T T"
O 0.274 -4.451 0.163
O -3.777 -3.518 -1.109
O -0.412 -5.374 2.939
O 1.169 -7.031 1.417
O -1.231 -8.602 5.167
O -7.229 -5.359 0.785
O -5.384 -7.179 1.892
O -5.904 -5.490 -1.829
O -1.507 -8.097 0.858
O -0.970 -9.298 -2.491
O -1.291 -0.923 -1.277
O -3.906 -7.083 -0.640
O -0.622 -3.113 -4.972
O 3.292 -3.230 -6.860
O -1.039 -6.580 -1.387
O -0.459 -3.249 -8.564
O 3.826 -4.472 -0.410
O -3.419 -3.083 -4.061
O 1.773 -6.409 -1.442
O 5.931 -2.965 -5.447
O 4.324 -6.625 -2.445
O -0.039 -1.697 1.126
O 2.256 -4.305 2.063
O 3.058 -4.878 -4.434
O 6.126 -5.609 3.552
O 6.451 -4.654 -1.726
O -1.708 -5.839 -5.618
O 1.778 -1.542 -8.722
O 3.967 -7.060 0.506
O -6.190 -3.981 -4.412
O -3.278 -5.672 -3.145
O -2.745 -6.913 3.305
O 1.586 -3.564 -2.168
O 1.006 -6.895 5.009
O 7.777 -4.784 -4.340
O 0.960 -4.769 -6.494
O 4.453 -3.060 -2.915
O 2.054 -2.046 -4.413
O 3.447 -6.769 3.261
O 6.738 -6.162 0.857
O -1.226 -3.734 -2.113
O 1.839 -9.221 -2.278
O 0.274 -5.692 -3.718
O -2.900 -3.374 -6.816
O 1.518 -0.846 -1.063
O -2.511 -5.265 0.879
O -5.579 -4.535 -7.107
O 0.587 -8.446 -4.681
Ca -1.776 -2.983 0.094
Ca 2.324 -7.160 -3.649
Ca 2.023 -2.816 0.201
Ca -4.074 -5.021 -5.308
Ca -1.476 -7.327 -3.756
Ca 4.621 -5.123 1.753
Ca -4.865 -5.177 0.448
Ca 0.384 -8.336 -0.594
Ca 5.412 -4.966 -4.003
Ca 0.163 -1.808 -2.961
Ca -0.381 -7.765 3.090
Ca 0.928 -2.379 -6.645
Cu 0.000 0.000 0.000
Cu -2.404 -4.948 2.889
Cu 0.274 -5.072 -1.777
Cu -4.975 -1.914 -0.736
Cu 5.249 -3.158 -1.042
Cu -2.298 -2.037 -5.402
Cu 2.571 -3.035 3.624
Cu 2.678 -0.123 -4.666
Ge -2.241 -6.756 -0.073
Ge -2.925 -4.002 -2.607
Ge 2.681 -6.298 4.808
Ge -2.134 -3.845 -8.363
Ge -4.180 -7.932 2.982
Ge 4.728 -2.212 -6.537
Ge 7.272 -5.974 -0.840
Ge 2.788 -3.387 -3.482
Ge 3.473 -6.142 -0.948
Ge 0.821 -5.290 1.646
Ge -0.274 -4.853 -5.201
Ge -6.725 -4.169 -2.715
```



No. 5
Below is a geometry-optimized CsYSn2 structure, with properties calculated at the PBE-GGA level.

Energy of formation from the pure elements = 0.023 eV/atom
Energy above the lowest structure with this stoichiometry = 0.467 eV/atom

Cell and atoms, written as extended XYZ:
```
4
Lattice="4.929 -2.980 0.057 1.485 -3.021 4.673 -0.114 -5.757 -0.137" Properties=species:S:1:pos:R:3 pbc="T T T"
Sn 1.575 -2.940 1.148
Sn 4.724 -8.819 3.445
Cs 3.150 -5.879 2.297
Y 0.000 0.000 0.000
```



No. 6
Below is a geometry-optimized La8AsRh3Cl4 structure, with properties calculated at the PBE-GGA level.

Energy relative to the elements, uncorrected = -1316 meV per atom

Cell and atoms, written as extended XYZ:
```
16
Lattice="-2.106 -7.064 -4.171 -3.617 -3.301 7.417 -2.688 7.531 -2.799" Properties=species:S:1:pos:R:3 pbc="T T T"
Rh -3.153 2.115 2.309
Rh -4.205 -1.417 0.224
Rh -2.861 -5.182 1.623
La -4.003 -2.431 -2.461
La -5.704 3.222 1.561
La -5.394 -3.982 0.869
La -6.717 -0.178 -0.446
La -4.408 -0.403 2.908
La -2.707 -6.056 -1.114
La -1.694 -2.656 0.894
La -3.017 1.148 -0.421
Cl -1.053 -3.532 -2.085
Cl -1.344 3.765 -1.399
Cl -2.397 0.233 -3.485
Cl 0.000 0.000 0.000
As -1.808 -1.650 3.708
```



| no. | magnetization (μB per cell) |
| --- | --- |
| 1 | 0.000 |
| 2 | 0.000 |
| 3 | 0.000 |
| 4 | 16.203 |
| 5 | 0.000 |
| 6 | 0.000 |